The following is a PBE-GGA calculation of a relaxed structure of KCd2Cl2, from Alexandria.

Cell lengths 6.397, 6.397, 6.397 Å; angles 128.04, 128.04, 76.56 degrees
Element x y z (fractional)
1 K 0.000 0.000 0.000
2 Cd 0.360 0.360 0.000
3 Cd 0.640 0.640 0.000
4 Cl 0.250 0.750 0.500
5 Cl 0.750 0.250 0.500

Properties
**Polymorph energy (0 for the lowest one)**: 0.000 eV per atom
**Symmetry**: I4/mmm
**Spin magnetization**: 0.00 μB per cell
**Formation energy from raw total energies**: -0.78 eV per atom